{"formula": "Ta3Nb4V", "functional": "PBE-GGA", "state": "optimized geometry", "volume_a3_per_atom": 17.73, "e_tot_ev_per_atom": -10.61, "ef_kj_per_mol_atoms": 1.25, "dos_ef_per_ev_cell": 14.9, "magnetic_moment_mub_per_cell": 0.0, "lattice": [[-0.313, 3.133, 0.949], [-2.983, -0.666, 1.214], [5.377, -2.973, 11.582]], "species": ["Nb", "Nb", "Nb", "Nb", "V", "Ta", "Ta", "Ta"], "fractional_positions": [[0.000, 0.000, 0.884], [0.000, 0.000, 0.116], [0.000, 0.000, 0.372], [0.000, 0.000, 0.628], [0.500, 0.500, 0.000], [0.500, 0.500, 0.245], [0.500, 0.500, 0.500], [0.500, 0.500, 0.755]]}

=====

{"formula": "TaNb2V2", "functional": "PBE-GGA", "state": "optimized geometry", "volume_a3_per_atom": 16.90, "e_tot_ev_per_atom": -9.78, "ef_kj_per_mol_atoms": 25.94, "dos_ef_per_ev_cell": 12.7, "magnetic_moment_mub_per_cell": 0.0, "polymorph_energy_ev_per_atom": 0.023, "lattice": [[7.328, 0.000, 0.000], [0.000, 7.328, 0.000], [0.000, 0.000, 3.146]], "species": ["Nb", "Nb", "Nb", "Nb", "Ta", "Ta", "V", "V", "V", "V"], "fractional_positions": [[0.206, 0.706, 0.500], [0.706, 0.794, 0.500], [0.794, 0.294, 0.500], [0.294, 0.206, 0.500], [0.000, 0.000, 0.000], [0.500, 0.500, 0.000], [0.399, 0.899, 0.000], [0.899, 0.601, 0.000], [0.601, 0.101, 0.000], [0.101, 0.399, 0.000]]}

=====

{"formula": "TaNb2V2", "functional": "PBE-GGA", "state": "optimized geometry", "volume_a3_per_atom": 17.49, "e_tot_ev_per_atom": -9.49, "ef_kj_per_mol_atoms": 53.54, "dos_ef_per_ev_cell": 5.3, "magnetic_moment_mub_per_cell": 0.0, "polymorph_energy_ev_per_atom": 0.309, "lattice": [[-3.272, -1.929, 0.529], [0.893, -2.317, -2.923], [1.585, -5.799, 2.564]], "species": ["Nb", "Nb", "Ta", "V", "V"], "fractional_positions": [[0.750, 0.250, 0.500], [0.250, 0.750, 0.500], [0.000, 0.000, 0.000], [0.420, 0.420, 0.161], [0.580, 0.580, 0.839]]}

=====

{"formula": "TaNb2V", "functional": "PBE-GGA", "state": "optimized geometry", "volume_a3_per_atom": 17.59, "e_tot_ev_per_atom": -9.99, "ef_kj_per_mol_atoms": 27.59, "dos_ef_per_ev_cell": 5.3, "magnetic_moment_mub_per_cell": 0.0, "polymorph_energy_ev_per_atom": 0.255, "lattice": [[-2.056, 0.685, -2.189], [-2.861, -1.131, 0.165], [-4.100, 6.730, 3.790]], "species": ["Nb", "Nb", "V", "Ta"], "fractional_positions": [[0.256, 0.256, 0.232], [0.744, 0.744, 0.768], [0.000, 0.000, 0.000], [0.500, 0.500, 0.500]]}

=====

{"formula": "TaNb2V", "functional": "PBE-GGA", "state": "optimized geometry", "volume_a3_per_atom": 17.16, "e_tot_ev_per_atom": -10.25, "ef_kj_per_mol_atoms": 3.04, "dos_ef_per_ev_cell": 14.0, "magnetic_moment_mub_per_cell": 0.0, "polymorph_energy_ev_per_atom": 0.000, "lattice": [[-0.767, 2.607, -1.752], [-1.918, -1.108, 5.197], [7.145, 4.521, 3.601]], "species": ["Ta", "Ta", "Nb", "Nb", "Nb", "Nb", "V", "V"], "fractional_positions": [[0.999, 0.750, 0.250], [0.001, 0.250, 0.750], [0.500, 0.750, 0.509], [0.500, 0.250, 0.491], [0.500, 0.750, 0.991], [0.500, 0.250, 0.009], [0.000, 0.750, 0.750], [0.000, 0.250, 0.250]]}

=====

{"formula": "Ta3Nb3V", "functional": "PBE-GGA", "state": "optimized geometry", "volume_a3_per_atom": 18.53, "e_tot_ev_per_atom": -10.44, "ef_kj_per_mol_atoms": 24.63, "dos_ef_per_ev_cell": 14.4, "magnetic_moment_mub_per_cell": 0.0, "lattice": [[-0.128, 5.381, -0.819], [-5.905, 0.403, 3.585], [3.001, 1.006, 6.153]], "species": ["Ta", "Ta", "Ta", "Ta", "Ta", "Ta", "Nb", "Nb", "Nb", "Nb", "Nb", "Nb", "V", "V"], "fractional_positions": [[0.250, 0.670, 0.670], [0.500, 0.262, 0.738], [0.500, 0.738, 0.262], [0.000, 0.262, 0.738], [0.000, 0.738, 0.262], [0.750, 0.330, 0.330], [0.250, 0.931, 0.931], [0.750, 0.934, 0.601], [0.750, 0.601, 0.934], [0.250, 0.066, 0.399], [0.250, 0.399, 0.066], [0.750, 0.069, 0.069], [0.750, 0.572, 0.572], [0.250, 0.428, 0.428]]}